Record 1
Crystalline Ti2Ni6Ge at its relaxed geometry, computed with PBE-GGA.

Properties
ρ: 7.54 g cm⁻³
V: 12.7 Å³/atom
magnetization: 0.00 μB/f.u.
VASP energy: -6.335 eV/atom
space-group type: No. 65
ΔH_f (0 K): -0.213 eV/atom

The structure in POSCAR format:
```
Ti2Ni6Ge
1.0
3.398 -6.280 0.000
3.398 6.280 0.000
0.000 0.000 2.685
Ti Ni Ge
2 6 1
direct
0.183 0.817 0.000 Ti
0.817 0.183 0.000 Ti
0.153 0.474 0.500 Ni
0.186 0.186 0.000 Ni
0.474 0.153 0.500 Ni
0.526 0.847 0.500 Ni
0.814 0.814 0.000 Ni
0.847 0.526 0.500 Ni
0.500 0.500 0.500 Ge
```

---

Record 2
Crystalline ZnNiCl6 at its relaxed geometry, computed with PBE-GGA.

Properties
ρ: 2.76 g cm⁻³
formation energy from raw total energies: -0.527 eV per atom
V: 25.3 Å³/atom
magnetization: 0.36 μB/f.u.
VASP energy: -2.794 eV/atom
space-group type: No. 12

The structure in POSCAR format:
```
ZnNiCl6
1.0
3.078 -5.839 0.000
3.078 5.839 0.000
-2.439 0.000 5.640
Zn Ni Cl
1 1 6
direct
0.000 0.000 0.000 Zn
0.500 0.500 0.500 Ni
0.124 0.395 0.259 Cl
0.283 0.283 0.716 Cl
0.395 0.124 0.259 Cl
0.605 0.876 0.741 Cl
0.717 0.717 0.284 Cl
0.876 0.605 0.741 Cl
```

---

Record 3
Crystalline KHfHgI6 at its relaxed geometry, computed with PBE-GGA.

Properties
ρ: 4.12 g cm⁻³
formation energy from raw total energies: -0.814 eV per atom
V: 52.8 Å³/atom
magnetization: 0.00 μB/f.u.
VASP energy: -3.109 eV/atom
space-group type: No. 1

The structure in POSCAR format:
```
KHfHgI6
1.0
7.728 0.000 0.000
2.593 7.826 0.000
1.280 3.903 7.854
K Hf Hg I
1 1 1 6
direct
0.000 0.000 0.000 K
0.000 0.647 0.705 Hf
0.500 0.247 0.505 Hg
0.197 0.610 0.406 I
0.225 0.869 0.686 I
0.248 0.318 0.927 I
0.752 0.754 0.927 I
0.774 0.444 0.686 I
0.801 0.982 0.406 I
```